1.
The following is a DFT calculation (GGA-PBE) of Tb2Dy6Y3In after structural relaxation.

Cell lengths 6.0946, 10.5668, 11.6551 Å; angles 90.00, 100.10, 90.00 degrees
With the nearest neighbours (Å) after each atom.
Space group C2/m (No. 12)
Unique sites:
Tb: 0.0000 0.1661 0.0000 x4  6 Dy 3.49-3.50, 3 Tb 3.51-3.53, 3 In 3.52-3.53
Dy: 0.2459 0.3357 0.2464 x8  1 In 3.46, 6 Dy 3.47-3.55, 2 Tb 3.49, 3 Y 3.54-3.57
Dy: 0.2466 0.5000 0.7524 x4  6 Dy 3.47-3.55, 1 In 3.48, 2 Tb 3.50, 3 Y 3.53-3.55
Y: 0.0000 0.0000 0.5000 x2  6 Y 3.52, 6 Dy 3.54-3.55
Y: 0.0000 0.3333 0.5000 x4  6 Y 3.52, 6 Dy 3.53-3.57
In: 0.0000 0.5000 0.0000 x2  6 Dy 3.46-3.48, 6 Tb 3.52-3.53

Output
Its theoretical density is 7.525 g/cm³. Its final energy is -4.96 eV/atom. Its crystal system is monoclinic.

=====

2.
The following is a DFT calculation (GGA-PBE) of Tb2Dy3Y6In after structural relaxation.

Cell lengths 6.1073, 10.5856, 11.6735 Å; angles 90.00, 100.10, 90.00 degrees
With the nearest neighbours (Å) after each atom.
Space group C2/m (No. 12)
Unique sites:
Tb: 0.0000 0.1661 0.0000 x4  6 Y 3.50-3.51, 3 Tb 3.52-3.53, 3 In 3.52-3.53
Dy: 0.0000 0.0000 0.5000 x2  6 Dy 3.53, 6 Y 3.54-3.56
Dy: 0.0000 0.3335 0.5000 x4  6 Dy 3.53, 6 Y 3.53-3.57
Y: 0.2455 0.3361 0.2467 x8  6 Y 3.47-3.56, 1 In 3.47, 2 Tb 3.50, 3 Dy 3.54-3.57
Y: 0.2460 0.5000 0.7521 x4  6 Y 3.47-3.56, 1 In 3.49, 2 Tb 3.51, 3 Dy 3.53-3.56
In: 0.0000 0.5000 0.0000 x2  6 Y 3.47-3.49, 6 Tb 3.52-3.53

Output
Its theoretical density is 6.497 g/cm³. Its final energy is -5.43 eV/atom. Its crystal system is monoclinic.

=====

3.
The following is a DFT calculation (GGA-PBE) of Tb5DyY2In after structural relaxation.

Cell lengths 5.3823, 20.1613, 10.5272 Å; angles 90.00, 90.00, 90.00 degrees
With the nearest neighbours (Å) after each atom.
Space group Cmcm (No. 63)
Unique sites:
Tb: 0.0000 0.0000 0.0000 x4  2 In 3.27, 2 Tb 3.53, 4 Y 3.59
Tb: 0.0000 0.1165 0.2500 x4  4 Y 3.47, 6 Tb 3.53-3.75, 1 Dy 3.54
Tb: 0.0000 0.2109 0.5513 x8  1 In 3.12, 2 Tb 3.30, 2 Dy 3.41, 3 Y 3.45-3.50
Tb: 0.0000 0.4868 0.2500 x4  2 In 3.17, 2 Y 3.40
Dy: 0.0000 0.2922 0.2500 x4  7 Tb 3.41-3.57, 2 In 3.51, 2 Y 3.59
Y: 0.0000 0.3842 0.5417 x8  9 Tb 3.40-3.70, 1 Dy 3.59
In: 0.0000 0.0959 0.7500 x4  6 Tb 3.12-3.27

Output
Its theoretical density is 7.267 g/cm³. Its final energy is -4.83 eV/atom. Its crystal system is orthorhombic.

=====

4.
The following is a DFT calculation (GGA-PBE) of TbDyZrIn after structural relaxation.

Cell lengths 7.5621, 7.5621, 7.5621 Å; angles 90.00, 90.00, 90.00 degrees
With the nearest neighbours (Å) after each atom.
Space group F-43m (No. 216)
Unique sites:
Tb: 0.0000 0.0000 0.0000 x4  4 Zr 3.27, 4 In 3.27
Dy: 0.0000 0.0000 0.5000 x4  4 In 3.27, 4 Zr 3.27
Zr: 0.2500 0.2500 0.7500 x4  4 Tb 3.27, 4 Dy 3.27
In: 0.2500 0.2500 0.2500 x4  4 Tb 3.27, 4 Dy 3.27

Output
Its theoretical density is 8.102 g/cm³. Its final energy is -5.20 eV/atom. Its crystal system is cubic.

=====

5.
The following is a DFT calculation (GGA-PBE) of DyInTc4 after structural relaxation.

Cell lengths 7.5272, 7.5272, 7.5272 Å; angles 90.00, 90.00, 90.00 degrees
With the nearest neighbours (Å) after each atom.
Space group F-43m (No. 216)
Unique sites:
Dy: 0.0000 0.0000 0.0000 x4  12 Tc 3.12, 4 In 3.26
In: 0.2500 0.2500 0.7500 x4  12 Tc 3.12, 4 Dy 3.26
Tc: 0.1242 0.1242 0.3758 x16  6 Tc 2.64-2.68

Output
Its theoretical density is 10.424 g/cm³. Its final energy is -8.12 eV/atom. Its crystal system is cubic.

=====

6.
The following is a DFT calculation (GGA-PBE) of Dy2InTc after structural relaxation.

Cell lengths 3.5607, 3.5607, 7.4231 Å; angles 90.00, 90.00, 90.00 degrees
With the nearest neighbours (Å) after each atom.
Space group P4/mmm (No. 123)
Unique sites:
Dy: 0.0000 0.0000 0.2156 x2  4 Tc 2.98, 1 Dy 3.20, 4 In 3.29
In: 0.5000 0.5000 0.5000 x1  8 Dy 3.29, 4 In 3.56
Tc: 0.5000 0.5000 0.0000 x1  8 Dy 2.98

Output
Its theoretical density is 9.489 g/cm³. Its final energy is -5.81 eV/atom. Its energy above the most stable polymorph in this dataset is 0 meV/atom. Its crystal system is tetragonal.

=====

7.
The following is a DFT calculation (GGA-PBE) of Dy4InTc after structural relaxation.

Cell lengths 8.7218, 12.9765, 6.2058 Å; angles 90.00, 107.61, 90.00 degrees
With the nearest neighbours (Å) after each atom.
Space group C2/c (No. 15)
Unique sites:
Dy: 0.1077 0.1681 0.0485 x8  2 Tc 2.81-2.83
Dy: 0.2209 0.4218 0.3888 x8  2 Tc 2.95-3.00, 1 In 3.22
In: 0.0000 0.3755 0.7500 x4  8 Dy 3.22-3.42
Tc: 0.0000 0.0002 0.2500 x4  8 Dy 2.81-3.00, 2 Tc 3.10

Output
Its theoretical density is 8.561 g/cm³. Its final energy is -5.50 eV/atom. Its crystal system is monoclinic.

=====

8.
The following is a DFT calculation (GGA-PBE) of Dy8InTc2 after structural relaxation.

Cell lengths 5.3553, 6.9201, 9.0200 Å; angles 112.49, 107.27, 90.04 degrees
With the nearest neighbours (Å) after each atom.
Space group P1 (No. 1)
Unique sites:
Dy: 0.0000 0.0000 0.0000 x1  3 Tc 3.05-3.27, 1 In 3.06, 3 Dy 3.29-3.30
Dy: 0.0394 0.5069 0.0779 x1  3 Tc 2.89-3.09
Dy: 0.2212 0.3578 0.4415 x1  1 Tc 2.68
Dy: 0.3305 0.9136 0.6588 x1  2 Tc 2.89-2.90
Dy: 0.4398 0.5770 0.8781 x1  1 Tc 2.68
Dy: 0.6206 0.0891 0.2414 x1  3 Tc 2.90-3.09
Dy: 0.6601 0.6598 0.3188 x1  3 Tc 3.06-3.28, 1 In 3.06, 3 Dy 3.29-3.30
Dy: 0.8320 0.1810 0.6602 x1  1 In 3.02, 2 Dy 3.25-3.26
In: 0.8305 0.6176 0.6594 x1  9 Dy 3.02-3.37
Tc: 0.1645 0.9360 0.3305 x1  3 Dy 2.68-2.89
Tc: 0.4931 0.2647 0.9871 x1  3 Dy 2.68-2.90

Output
Its theoretical density is 9.147 g/cm³. Its final energy is -5.59 eV/atom. Its crystal system is triclinic.

=====

9.
The following is a DFT calculation (GGA-PBE) of Dy2InTc after structural relaxation.

Cell lengths 7.1755, 7.1755, 7.1755 Å; angles 90.00, 90.00, 90.00 degrees
With the nearest neighbours (Å) after each atom.
Space group Fm-3m (No. 225)
Unique sites:
Dy: 0.2500 0.2500 0.2500 x8  4 In 3.11, 4 Tc 3.11
In: 0.0000 0.0000 0.0000 x4  8 Dy 3.11
Tc: 0.0000 0.0000 0.5000 x4  8 Dy 3.11

Output
Its theoretical density is 9.669 g/cm³. Its final energy is -5.73 eV/atom. Its energy above the most stable polymorph in this dataset is 87 meV/atom. Its crystal system is cubic.

=====

10.
The following is a DFT calculation (GGA-PBE) of DyZrInTc after structural relaxation.

Cell lengths 6.9988, 6.9988, 6.9988 Å; angles 90.00, 90.00, 90.00 degrees
With the nearest neighbours (Å) after each atom.
Space group F-43m (No. 216)
Unique sites:
Dy: 0.0000 0.0000 0.0000 x4  4 In 3.03, 4 Tc 3.03
Zr: 0.0000 0.0000 0.5000 x4  4 In 3.03, 4 Tc 3.03
In: 0.2500 0.2500 0.7500 x4  4 Zr 3.03, 4 Dy 3.03
Tc: 0.2500 0.2500 0.2500 x4  4 Zr 3.03, 4 Dy 3.03

Output
Its theoretical density is 9.039 g/cm³. Its final energy is -6.73 eV/atom. Its crystal system is cubic.

=====

11.
The following is a DFT calculation (GGA-PBE) of Dy2InTe after structural relaxation.

Cell lengths 3.6626, 3.6626, 8.1277 Å; angles 90.00, 90.00, 90.00 degrees
With the nearest neighbours (Å) after each atom.
Space group P4/mmm (No. 123)
Unique sites:
Dy: 0.0000 0.0000 0.2399 x2  4 Te 3.24, 4 In 3.34
In: 0.5000 0.5000 0.5000 x1  8 Dy 3.34, 4 In 3.66
Te: 0.5000 0.5000 0.0000 x1  8 Dy 3.24

Output
Its theoretical density is 8.642 g/cm³. As for the energy relative to the elements, uncorrected: -0.734 eV per atom. Its final energy is -4.51 eV/atom. Its energy above the most stable polymorph in this dataset is 177 meV/atom. Its crystal system is tetragonal.